i) A relaxed LiAg2Pt2 crystal, computed with PBE.

a b c (Å): 7.451 7.451 7.451
angles (deg): 151.26 151.26 41.09
Fractional positions:
Li 0.000 0.000 0.000
Ag 0.404 0.404 0.000
Ag 0.596 0.596 0.000
Pt 0.250 0.750 0.500
Pt 0.750 0.250 0.500

Calculated values
The value obtained for the total magnetization is 0.0 μB per formula unit. For the density of states at the Fermi level, the calculation gives 3.009 states/eV per cell.

ii) A relaxed LiAg2Pt2 crystal, computed with PBE.

a b c (Å): 7.980 7.980 2.860
angles (deg): 90.00 90.00 90.00
Fractional positions:
Li 0.000 0.000 0.000
Li 0.500 0.500 0.000
Ag 0.177 0.323 0.500
Ag 0.323 0.823 0.500
Ag 0.677 0.177 0.500
Ag 0.823 0.677 0.500
Pt 0.121 0.621 0.000
Pt 0.379 0.121 0.000
Pt 0.621 0.879 0.000
Pt 0.879 0.379 0.000

Calculated values
The value obtained for the total magnetization is 0.0 μB per formula unit. For the density of states at the Fermi level, the calculation gives 6.816 states/eV per cell.

How do the structures above rank in stability at the extremes? ii) comes first and i) comes last.